SrCuSe2O6: PBEsol geometry, SCAN.

Lattice parameters (Å, degrees): 4.721 4.721 14.829 90.06 90.06 65.96
Last column: magnetic moment on the atom in μB.
Fractional positions:
1 Cu 0.000 0.000 0.000  0.67
2 Se 0.647 0.646 0.909  0.00
3 Cu 0.000 0.000 0.500  0.67
4 O 0.850 0.249 0.394  0.07
5 O 0.327 0.734 0.080  0.07
6 Sr 0.939 0.061 0.750  0.00
7 O 0.266 0.673 0.420  0.07
8 O 0.150 0.751 0.606  0.07
9 O 0.751 0.150 0.106  0.07
10 O 0.249 0.850 0.894  0.07
11 Se 0.354 0.353 0.591  0.00
12 O 0.734 0.327 0.580  0.07
13 O 0.365 0.236 0.699  0.01
14 O 0.635 0.764 0.301  0.01
15 Sr 0.061 0.939 0.250  0.00
16 O 0.236 0.365 0.199  0.01
17 O 0.764 0.635 0.801  0.01
18 Se 0.353 0.354 0.091  0.00
19 Se 0.646 0.647 0.409  0.00
20 O 0.673 0.266 0.920  0.07

Computed properties:
symmetry = No. 15
V = 15.09 Å³/atom
ΔE_f (raw) = -1.49 eV per atom

***

TlTc3Cl: PBEsol geometry, SCAN.

Lattice parameters (Å, degrees): 4.344 4.344 4.344 90.00 90.00 90.00
Last column: magnetic moment on the atom in μB.
Fractional positions:
1 Cl 0.000 0.000 0.000  0.00
2 Tc 0.000 0.500 0.000  0.66
3 Tc 0.000 0.000 0.500  0.66
4 Tc 0.500 0.000 0.000  0.66
5 Tl 0.500 0.500 0.500  -0.07

Computed properties:
symmetry = No. 221
V = 16.39 Å³/atom
ΔE_f (raw) = 1.18 eV per atom
polymorph energy (0 for the lowest one) = 0.0 meV/atom

***

YHg2OsCl: PBEsol geometry, SCAN.

Lattice parameters (Å, degrees): 4.924 5.695 5.695 90.00 90.00 90.00
Last column: magnetic moment on the atom in μB.
Fractional positions:
1 Y 0.000 0.000 0.000  -0.06
2 Hg 0.000 0.500 0.000  -0.01
3 Hg 0.000 0.000 0.500  -0.01
4 Cl 0.500 0.000 0.000  0.00
5 Os 0.500 0.500 0.500  2.77

Computed properties:
symmetry = No. 123
V = 31.94 Å³/atom
ΔE_f (raw) = 0.93 eV per atom